LaHfAu2O | PBE | relaxed

The structure belongs to space group P4/mmm (No. 123); the cell edges are 5.1517, 5.1517 and 4.2503 Å and the angles 90.00°, 90.00° and 90.00°. The asymmetric unit holds La at (0.0000, 0.0000, 0.0000), Hf at (0.5000, 0.5000, 0.0000), Au at (0.0000, 0.5000, 0.5000) and O at (0.0000, 0.0000, 0.5000).

The density of states at the Fermi level comes out at 1.342 states/eV/atom. The calculation puts the uncorrected formation energy at -324 meV/atom. The calculation puts the size of the total moment at 1.40 μB per formula unit. The crystal system is tetragonal.